The following is a DFT calculation (PBE-GGA) of a relaxed structure of TbTlCu3Te4.

Cell: 6.311 8.018 10.510 Å, 90.00 104.67 90.00°
Space group P2_1/m (No. 11)
Inequivalent atoms, fractional coordinates:
Tb (0.129, 0.250, 0.275) (multiplicity 2)
Tl (0.177, 0.250, 0.899) (multiplicity 2)
Cu (0.302, 0.530, 0.498) (multiplicity 4)
Cu (0.340, 0.750, 0.689) (multiplicity 2)
Te (0.016, 0.250, 0.533) (multiplicity 2)
Te (0.275, 0.750, 0.930) (multiplicity 2)
Te (0.426, 0.532, 0.275) (multiplicity 4)

Calculated values
The electronic total energy is -0.138 hartree per atom.

***

The following is a DFT calculation (PBE-GGA) of a relaxed structure of TbTlCuTe3.

Cell: 4.187 15.466 11.385 Å, 90.00 90.00 90.00°
Space group Cmcm (No. 63)
Inequivalent atoms, fractional coordinates:
Tb (0.000, 0.000, 0.000) (multiplicity 4)
Tl (0.000, 0.248, 0.250) (multiplicity 4)
Cu (0.000, 0.467, 0.750) (multiplicity 4)
Te (0.000, 0.073, 0.750) (multiplicity 4)
Te (0.000, 0.363, 0.566) (multiplicity 8)

Calculated values
The electronic total energy is -0.149 hartree per atom.

***

The following is a DFT calculation (PBE-GGA) of a relaxed structure of TbTlCu3Te4.

Cell: 6.598 6.598 6.598 Å, 90.00 90.00 90.00°
Space group P-43m (No. 215)
Inequivalent atoms, fractional coordinates:
Tb (0.000, 0.000, 0.000) (multiplicity 1)
Tl (0.500, 0.500, 0.500) (multiplicity 1)
Cu (0.000, 0.000, 0.500) (multiplicity 3)
Te (0.245, 0.245, 0.755) (multiplicity 4)

Calculated values
The electronic total energy is -0.133 hartree per atom.

***

The following is a DFT calculation (PBE-GGA) of a relaxed structure of TbTlCuTe3.

Cell: 11.448 4.191 15.518 Å, 90.00 90.00 90.00°
Space group Pnma (No. 62)
Inequivalent atoms, fractional coordinates:
Tb (0.018, 0.250, 0.243) (multiplicity 4)
Tl (0.221, 0.750, 0.501) (multiplicity 4)
Cu (0.238, 0.250, 0.718) (multiplicity 4)
Te (0.049, 0.250, 0.620) (multiplicity 4)
Te (0.086, 0.750, 0.109) (multiplicity 4)
Te (0.236, 0.750, 0.823) (multiplicity 4)

Calculated values
The electronic total energy is -0.149 hartree per atom.

***

The following is a DFT calculation (PBE-GGA) of a relaxed structure of TbTmCuTe3.

Cell: 11.021 4.109 14.234 Å, 90.00 90.00 90.00°
Space group Pnma (No. 62)
Inequivalent atoms, fractional coordinates:
Tb (0.221, 0.250, 0.018) (multiplicity 4)
Tm (0.021, 0.750, 0.745) (multiplicity 4)
Cu (0.235, 0.750, 0.221) (multiplicity 4)
Te (0.042, 0.750, 0.106) (multiplicity 4)
Te (0.091, 0.250, 0.597) (multiplicity 4)
Te (0.232, 0.250, 0.344) (multiplicity 4)

Calculated values
The electronic total energy is -0.173 hartree per atom.

***

The following is a DFT calculation (PBE-GGA) of a relaxed structure of TbTmCuTe3.

Cell: 4.117 14.189 11.007 Å, 90.00 90.00 90.00°
Space group Cmcm (No. 63)
Inequivalent atoms, fractional coordinates:
Tb (0.000, 0.227, 0.250) (multiplicity 4)
Tm (0.000, 0.000, 0.000) (multiplicity 4)
Cu (0.000, 0.471, 0.750) (multiplicity 4)
Te (0.000, 0.096, 0.750) (multiplicity 4)
Te (0.000, 0.352, 0.566) (multiplicity 8)

Calculated values
The electronic total energy is -0.173 hartree per atom.

***

The following is a DFT calculation (PBE-GGA) of a relaxed structure of TbTm4Cu5.

Cell: 3.420 3.420 17.045 Å, 90.00 90.00 90.00°
Space group P4/mmm (No. 123)
Inequivalent atoms, fractional coordinates:
Tb (0.000, 0.000, 0.000) (multiplicity 1)
Tm (0.000, 0.000, 0.202) (multiplicity 2)
Tm (0.000, 0.000, 0.401) (multiplicity 2)
Cu (0.500, 0.500, 0.105) (multiplicity 2)
Cu (0.500, 0.500, 0.301) (multiplicity 2)
Cu (0.500, 0.500, 0.500) (multiplicity 1)

Calculated values
The electronic total energy is -0.161 hartree per atom. The value obtained for the formation energy is -0.278 eV/atom.

***

The following is a DFT calculation (PBE-GGA) of a relaxed structure of TbTmCu2.

Cell: 4.473 3.670 10.251 Å, 90.00 90.00 90.00°
Space group Amm2 (No. 38)
Inequivalent atoms, fractional coordinates:
Tb (0.000, 0.000, 0.000) (multiplicity 2)
Tm (0.500, 0.000, 0.720) (multiplicity 2)
Cu (0.000, 0.000, 0.286) (multiplicity 2)
Cu (0.500, 0.000, 0.431) (multiplicity 2)

Calculated values
The electronic total energy is -0.161 hartree per atom. The value obtained for the formation energy is -0.259 eV/atom.

***

Number 1: size of the total moment 0.00 μB/f.u.. Number 2: size of the total moment 0.01 μB/f.u.. Number 3: size of the total moment 0.02 μB/f.u.. Number 4: size of the total moment 0.00 μB/f.u.. Number 5: size of the total moment 0.03 μB/f.u.. Number 6: size of the total moment 0.00 μB/f.u.. Number 7: size of the total moment 0.01 μB/f.u.. Number 8: size of the total moment 0.01 μB/f.u..